# 1
ScCo2Os | PBEsol | relaxed

Properties
N(E_F) ... 6.04 states/eV per cell
Uncorrected energy ... -0.318 Ha/atom
ΔH_f (0 K) ... -87.1 meV per atom
Offset from the most stable computed form ... 0 meV per atom

Cell lengths 4.0603, 2.7296, 9.3416 Å; angles 90.00, 90.00, 90.00 degrees
With the nearest neighbours (Å) after each atom.
Space group Amm2 (No. 38)
One atom of each set of equivalent atoms:
Sc: 0.0000 0.0000 0.0000 x2  7 Co 2.46-2.60, 2 Sc 2.73
Co: 0.0000 0.0000 0.7368 x2  3 Sc 2.46-2.60, 4 Co 2.50-2.73, 4 Os 2.53
Co: 0.5000 0.0000 0.5805 x2  4 Co 2.50-2.73, 3 Os 2.51-2.56, 4 Sc 2.56
Os: 0.5000 0.0000 0.3065 x2  7 Co 2.51-2.56, 2 Os 2.73

---

# 2
ScCo2Os | PBEsol | relaxed

Properties
N(E_F) ... 5.52 states/eV per cell
Uncorrected energy ... -0.312 Ha/atom
ΔH_f (0 K) ... 87.7 meV per atom
Offset from the most stable computed form ... 175 meV per atom

Cell lengths 3.0712, 3.0712, 5.7526 Å; angles 90.00, 90.00, 90.00 degrees
With the nearest neighbours (Å) after each atom.
Space group P4/mmm (No. 123)
One atom of each set of equivalent atoms:
Sc: 0.0000 0.0000 0.0000 x1  8 Co 2.71, 2 Os 2.88
Co: 0.5000 0.5000 0.2827 x2  1 Co 2.50, 4 Os 2.51, 4 Sc 2.71
Os: 0.0000 0.0000 0.5000 x1  8 Co 2.51

---

# 3
Co2OsSe | PBEsol | relaxed

Properties
N(E_F) ... 4.35 states/eV per cell
Uncorrected energy ... -0.279 Ha/atom
Uncorrected formation energy ... 0.2821 eV per atom

Cell lengths 2.7088, 2.7088, 6.8352 Å; angles 90.00, 90.00, 90.00 degrees
With the nearest neighbours (Å) after each atom.
Space group P4/mmm (No. 123)
One atom of each set of equivalent atoms:
Co: 0.0000 0.0000 0.2471 x2  4 Os 2.55, 4 Se 2.58, 4 Co 2.71
Os: 0.5000 0.5000 0.0000 x1  8 Co 2.55, 4 Os 2.71
Se: 0.5000 0.5000 0.5000 x1  8 Co 2.58, 4 Se 2.71

---

# 4
Co2OsSe | PBEsol | relaxed

Properties
N(E_F) ... 8.08 states/eV per cell
Uncorrected energy ... -0.274 Ha/atom
Uncorrected formation energy ... 0.4346 eV per atom

Cell lengths 2.8791, 4.0584, 8.6602 Å; angles 90.00, 90.00, 90.00 degrees
With the nearest neighbours (Å) after each atom.
Space group Imm2 (No. 44)
One atom of each set of equivalent atoms:
Co: 0.0000 0.0000 0.0000 x2  4 Se 2.49, 2 Os 2.73, 2 Co 2.74
Co: 0.0000 0.5000 0.2134 x2  2 Se 2.35, 4 Os 2.53
Os: 0.0000 0.5000 0.7683 x2  2 Se 2.46, 6 Co 2.53-2.73
Se: 0.0000 0.0000 0.4984 x2  6 Co 2.35-2.49, 2 Os 2.46

---

# 5
Co2OsSe | PBEsol | relaxed

Properties
N(E_F) ... 5.05 states/eV per cell
Uncorrected energy ... -0.271 Ha/atom
Uncorrected formation energy ... 0.5191 eV per atom

Cell lengths 2.8751, 4.1349, 4.2679 Å; angles 90.00, 90.00, 90.00 degrees
With the nearest neighbours (Å) after each atom.
Space group Pmmm (No. 47)
One atom of each set of equivalent atoms:
Co: 0.0000 0.0000 0.0000 x1  4 Se 2.52, 4 Co 2.57
Co: 0.5000 0.0000 0.5000 x1  4 Os 2.52, 4 Co 2.57
Os: 0.0000 0.5000 0.5000 x1  4 Co 2.52, 4 Se 2.57
Se: 0.5000 0.5000 0.0000 x1  4 Co 2.52, 4 Os 2.57

---

# 6
Zn2CoOsSe | PBEsol | relaxed

Properties
N(E_F) ... 3.58 states/eV per cell
Uncorrected energy ... -0.141 Ha/atom
Uncorrected formation energy ... 1.5697 eV per atom

Cell lengths 4.6174, 4.6174, 4.4690 Å; angles 90.00, 90.00, 90.00 degrees
With the nearest neighbours (Å) after each atom.
Space group P4/mmm (No. 123)
One atom of each set of equivalent atoms:
Zn: 0.0000 0.5000 0.0000 x2  2 Se 2.31
Co: 0.0000 0.0000 0.5000 x1  8 Zn 3.21, 4 Os 3.26
Os: 0.5000 0.5000 0.5000 x1  2 Se 2.23
Se: 0.5000 0.5000 0.0000 x1  2 Os 2.23, 4 Zn 2.31